#i
The following is a DFT calculation (GGA-PBE) of a relaxed Pr2SmZn crystal.

The calculation puts the magnetic moment at 0.000 μB per cell.

Cell: 3.7056 3.7056 8.8675 Å, 90.00 90.00 90.00°
Fractional positions:
Pr (0.0000, 0.0000, 0.7905)
Sm (0.5000, 0.5000, 0.5000)
Zn (0.5000, 0.5000, 0.0000)
Pr (0.0000, 0.0000, 0.2095)

---

#ii
The following is a DFT calculation (GGA-PBE) of a relaxed Pr2SmZn crystal.

The calculation puts the magnetic moment at 0.000 μB per cell.

Cell: 3.6854 3.6854 10.9188 Å, 80.28 80.28 60.00°
Fractional positions:
Zn (0.0000, 0.0000, 0.0000)
Sm (0.5000, 0.5000, 0.5000)
Pr (0.7395, 0.7395, 0.7816)
Pr (0.2605, 0.2605, 0.2184)

---

Of them, the most stable is #i and the least stable is #ii.

---

#i
The following is a DFT calculation (GGA-PBE) of a relaxed Pr2SmZn crystal.

The calculation puts the magnetic moment at 0.000 μB per cell.

Cell: 3.7110 3.7110 10.8522 Å, 80.19 80.19 60.02°
Fractional positions:
Zn (0.6666, 0.6666, 0.0002)
Sm (0.4999, 0.4999, 0.5002)
Pr (0.0720, 0.0720, 0.7840)
Pr (0.2614, 0.2614, 0.2155)

---

#ii
The following is a DFT calculation (GGA-PBE) of a relaxed Pr2SmZn crystal.

The calculation puts the magnetic moment at 0.001 μB per cell.

Cell: 5.5165 5.5165 5.5165 Å, 60.00 60.00 60.00°
Fractional positions:
Pr (0.2500, 0.2500, 0.2500)
Zn (0.5000, 0.5000, 0.5000)
Sm (0.0000, 0.0000, 0.0000)
Pr (0.7500, 0.7500, 0.7500)

---

Of them, the most stable is #i and the least stable is #ii.

---

#i
The following is a DFT calculation (GGA-PBE) of a relaxed PrSmZn4 crystal.

The calculation puts the magnetic moment at 0.004 μB per cell.

Cell: 4.5764 5.8263 5.8263 Å, 76.55 66.88 66.88°
Fractional positions:
Zn (0.3334, 0.4192, 0.9141)
Pr (0.0000, 0.0000, 0.0000)
Zn (0.6666, 0.5808, 0.0859)
Sm (0.0000, 0.5000, 0.5000)
Zn (0.6666, 0.0859, 0.5808)
Zn (0.3334, 0.9141, 0.4192)

---

#ii
The following is a DFT calculation (GGA-PBE) of a relaxed PrSmZn4 crystal.

The calculation puts the magnetic moment at 0.000 μB per cell.

Cell: 5.5739 5.5739 5.5739 Å, 60.00 60.00 60.00°
Fractional positions:
Pr (0.2500, 0.2500, 0.2500)
Sm (0.0000, 0.0000, 0.0000)
Zn (0.6252, 0.6252, 0.1244)
Zn (0.6252, 0.6252, 0.6252)
Zn (0.6252, 0.1244, 0.6252)
Zn (0.1244, 0.6252, 0.6252)

---

Of them, the most stable is #i and the least stable is #ii.

---

#i
The following is a DFT calculation (GGA-PBE) of a relaxed Pr4SmZn crystal.

The calculation puts the magnetic moment at 0.000 μB per cell.

Cell: 3.7883 6.5977 8.8984 Å, 74.68 102.23 73.31°
Fractional positions:
Pr (0.2200, 0.4187, 0.3568)
Pr (0.3664, 0.9668, 0.1988)
Pr (0.7838, 0.5755, 0.6408)
Zn (0.0011, 0.9967, 0.4973)
Pr (0.6350, 0.0279, 0.7962)
Sm (0.5014, 0.4981, 0.9989)

---

#ii
The following is a DFT calculation (GGA-PBE) of a relaxed Pr4SmZn crystal.

The calculation puts the magnetic moment at 0.000 μB per cell.

Cell: 3.7051 3.7051 14.1416 Å, 90.00 90.00 90.00°
Fractional positions:
Pr (0.5000, 0.5000, 0.1816)
Pr (0.0000, 0.0000, 0.6305)
Pr (0.0000, 0.0000, 0.3695)
Sm (0.0000, 0.0000, 0.0000)
Zn (0.5000, 0.5000, 0.5000)
Pr (0.5000, 0.5000, 0.8184)

---

Of them, the most stable is #ii and the least stable is #i.

---

#i
The following is a DFT calculation (GGA-PBE) of a relaxed Pr3Sm2Zn2 crystal.

The calculation puts the magnetic moment at 0.723 μB per cell.

Cell: 3.7162 3.6557 15.6157 Å, 90.00 96.83 90.00°
Site moments in Bohr magnetons follow the coordinates.
Fractional positions:
Sm (0.7015, 0.5000, 0.4030)  0.17
Pr (0.0000, 0.0000, 0.0000)  0.02
Zn (0.8534, 0.0000, 0.7068)  0.00
Sm (0.2985, 0.5000, 0.5970)  0.17
Pr (0.5868, 0.5000, 0.1737)  0.01
Zn (0.1466, 0.0000, 0.2932)  0.00
Pr (0.4132, 0.5000, 0.8263)  0.01

---

#ii
The following is a DFT calculation (GGA-PBE) of a relaxed Pr3Sm2Zn2 crystal.

The calculation puts the magnetic moment at 0.000 μB per cell.

Cell: 3.8081 6.7828 9.4943 Å, 114.73 90.00 106.30°
Fractional positions:
Zn (0.1779, 0.3557, 0.2274)
Pr (0.3906, 0.7811, 0.5623)
Sm (0.1543, 0.3085, 0.8174)
Sm (0.8457, 0.6915, 0.1826)
Zn (0.8221, 0.6443, 0.7726)
Pr (0.5000, 0.0000, 0.0000)
Pr (0.6094, 0.2189, 0.4377)

---

Of them, the most stable is #ii and the least stable is #i.

---

#i
The following is a DFT calculation (GGA-PBE) of a relaxed Pr2Sm6Zn crystal.

The calculation puts the magnetic moment at 0.000 μB per cell.

Cell: 3.7547 9.4931 9.4900 Å, 120.01 90.00 90.00°
Fractional positions:
Zn (0.5000, 0.0001, 0.0000)
Sm (0.0000, 0.9999, 0.2549)
Sm (0.0000, 0.2551, 0.0000)
Sm (0.0000, 0.7449, 0.7451)
Pr (0.0000, 0.6668, 0.3335)
Pr (0.0000, 0.3333, 0.6665)
Sm (0.5000, 0.3838, 0.3837)
Sm (0.5000, 0.0001, 0.6163)
Sm (0.5000, 0.6160, 0.0000)

---

#ii
The following is a DFT calculation (GGA-PBE) of a relaxed Pr2Sm6Zn crystal.

The calculation puts the magnetic moment at 0.000 μB per cell.

Cell: 5.5549 9.9527 10.4534 Å, 90.00 90.00 90.00°
Fractional positions:
Sm (0.0000, 0.6935, 0.5754)
Sm (0.0000, 0.6361, 0.8987)
Sm (0.0000, 0.3065, 0.4246)
Sm (0.0000, 0.9888, 0.8067)
Sm (0.5000, 0.8065, 0.0754)
Sm (0.5000, 0.8639, 0.3987)
Sm (0.0000, 0.3639, 0.1013)
Sm (0.5000, 0.1935, 0.9246)
Pr (0.0000, 0.6840, 0.2526)
Pr (0.0000, 0.3160, 0.7474)
Sm (0.5000, 0.5112, 0.3067)
Pr (0.5000, 0.8160, 0.7526)
Pr (0.5000, 0.1840, 0.2474)
Sm (0.0000, 0.0112, 0.1933)
Zn (0.5000, 0.5000, 0.0000)
Sm (0.5000, 0.4888, 0.6933)
Zn (0.0000, 0.0000, 0.5000)
Sm (0.5000, 0.1361, 0.6013)

---

Of them, the most stable is #i and the least stable is #ii.

---

#i
The following is a DFT calculation (GGA-PBE) of a relaxed Pr6Sm2Zn crystal.

The calculation puts the magnetic moment at 0.000 μB per cell.

Cell: 5.5603 10.3031 10.5260 Å, 90.00 89.99 90.00°
Fractional positions:
Sm (0.9999, 0.2962, 0.7662)
Sm (0.4999, 0.2039, 0.2663)
Pr (0.9996, 0.3713, 0.1117)
Pr (0.0002, 0.6893, 0.5575)
Pr (0.5002, 0.8107, 0.0575)
Pr (0.4998, 0.1893, 0.9425)
Pr (0.0004, 0.6287, 0.8883)
Pr (0.5004, 0.8712, 0.3883)
Pr (0.5001, 0.4722, 0.6917)
Pr (0.9999, 0.9722, 0.8083)
Sm (0.0001, 0.7038, 0.2338)
Pr (0.9998, 0.3107, 0.4425)
Zn (0.5000, 0.5000, 0.0000)
Pr (0.0001, 0.0278, 0.1917)
Zn (0.0000, 0.0000, 0.5000)
Pr (0.4999, 0.5278, 0.3083)
Sm (0.5001, 0.7961, 0.7337)
Pr (0.4996, 0.1288, 0.6117)

---

#ii
The following is a DFT calculation (GGA-PBE) of a relaxed Pr6Sm2Zn crystal.

The calculation puts the magnetic moment at 0.000 μB per cell.

Cell: 3.7487 9.6586 9.6631 Å, 119.98 90.00 90.00°
Fractional positions:
Pr (0.0000, 0.7391, 0.7389)
Zn (0.5000, 0.9996, 0.0000)
Pr (0.0000, 0.2607, 0.0000)
Sm (0.0000, 0.6667, 0.3332)
Pr (0.0000, 0.0001, 0.2611)
Pr (0.5000, 0.3791, 0.3790)
Pr (0.5000, 0.0001, 0.6210)
Sm (0.0000, 0.3335, 0.6668)
Pr (0.5000, 0.6211, 0.0000)

---

Of them, the most stable is #ii and the least stable is #i.

---

#i
The following is a DFT calculation (GGA-PBE) of a relaxed PrSmZn2 crystal.

The calculation puts the magnetic moment at 0.000 μB per cell.

Cell: 3.7108 3.7108 9.3885 Å, 78.60 78.60 60.00°
Fractional positions:
Sm (0.0000, 0.0000, 0.0000)
Pr (0.5000, 0.5000, 0.5000)
Zn (0.2519, 0.2519, 0.2443)
Zn (0.7481, 0.7481, 0.7557)

---

#ii
The following is a DFT calculation (GGA-PBE) of a relaxed PrSmZn2 crystal.

The calculation puts the magnetic moment at 0.000 μB per cell.

Cell: 3.6836 5.1943 5.1943 Å, 90.00 90.00 90.00°
Fractional positions:
Sm (0.5000, 0.0000, 0.0000)
Pr (0.5000, 0.5000, 0.5000)
Zn (0.0000, 0.0000, 0.5000)
Zn (0.0000, 0.5000, 0.0000)

---

Of them, the most stable is #ii and the least stable is #i.

---

#i
The following is a DFT calculation (GGA-PBE) of a relaxed Pr2SmZn2 crystal.

The calculation puts the magnetic moment at 0.000 μB per cell.

Cell: 4.4353 4.6745 13.6616 Å, 100.25 90.00 90.00°
Fractional positions:
Pr (0.7500, 0.7343, 0.4707)
Sm (0.7500, 0.3658, 0.7310)
Pr (0.2500, 0.2657, 0.5293)
Zn (0.7500, 0.1641, 0.3341)
Zn (0.2500, 0.8359, 0.6659)
Zn (0.7500, 0.4750, 0.9518)
Pr (0.7500, 0.0569, 0.1102)
Zn (0.2500, 0.5250, 0.0482)
Sm (0.2500, 0.6342, 0.2690)
Pr (0.2500, 0.9431, 0.8898)

---

#ii
The following is a DFT calculation (GGA-PBE) of a relaxed Pr2SmZn2 crystal.

The calculation puts the magnetic moment at 0.000 μB per cell.

Cell: 3.7366 5.2842 13.9007 Å, 90.00 97.75 90.00°
Fractional positions:
Sm (0.1430, 0.2500, 0.2828)
Pr (0.7691, 0.2500, 0.5373)
Sm (0.8570, 0.7500, 0.7172)
Pr (0.2309, 0.7500, 0.4627)
Zn (0.4486, 0.7500, 0.8982)
Zn (0.6394, 0.7500, 0.2770)
Zn (0.3606, 0.2500, 0.7230)
Pr (0.0461, 0.7500, 0.0909)
Zn (0.5514, 0.2500, 0.1018)
Pr (0.9539, 0.2500, 0.9091)

---

Of them, the most stable is #ii and the least stable is #i.

---

#i
The following is a DFT calculation (GGA-PBE) of a relaxed Pr2Sm2Zn crystal.

The calculation puts the magnetic moment at 0.000 μB per cell.

Cell: 8.4725 6.4083 9.0585 Å, 68.52 56.36 48.62°
Fractional positions:
Sm (0.9682, 0.3806, 0.2663)
Zn (0.1432, 0.7137, 0.0000)
Pr (0.5996, 0.0000, 0.1236)
Sm (0.0318, 0.6194, 0.7337)
Pr (0.2503, 0.0000, 0.5885)
Pr (0.7497, 0.0000, 0.4115)
Sm (0.3488, 0.6194, 0.2663)
Zn (0.8568, 0.2863, 0.0000)
Pr (0.4004, 0.0000, 0.8764)
Sm (0.6512, 0.3806, 0.7337)

---

#ii
The following is a DFT calculation (GGA-PBE) of a relaxed Pr2Sm2Zn crystal.

The calculation puts the magnetic moment at 0.000 μB per cell.

Cell: 3.6767 3.6767 11.7453 Å, 99.00 99.00 90.00°
Fractional positions:
Pr (0.1924, 0.1924, 0.3848)
Pr (0.8076, 0.8076, 0.6152)
Zn (0.0000, 0.0000, 0.0000)
Sm (0.5776, 0.5776, 0.1552)
Sm (0.4224, 0.4224, 0.8448)

---

Of them, the most stable is #ii and the least stable is #i.

---

#i
The following is a DFT calculation (GGA-PBE) of a relaxed Pr3SmZn2 crystal.

The calculation puts the magnetic moment at 0.000 μB per cell.

Cell: 5.4823 7.4410 9.5438 Å, 112.94 106.69 90.00°
Fractional positions:
Zn (0.6571, 0.1570, 0.3140)
Sm (0.0000, 0.5000, 0.0000)
Pr (0.1811, 0.9311, 0.3622)
Pr (0.5000, 0.2500, 0.0000)
Zn (0.6569, 0.6570, 0.3140)
Pr (0.8189, 0.0689, 0.6378)
Zn (0.3431, 0.3430, 0.6860)
Pr (0.1811, 0.4311, 0.3622)
Zn (0.3429, 0.8430, 0.6860)
Pr (0.8189, 0.5689, 0.6378)
Pr (0.5000, 0.7500, 0.0000)
Sm (0.0000, 0.0000, 0.0000)

---

#ii
The following is a DFT calculation (GGA-PBE) of a relaxed Pr3SmZn2 crystal.

The calculation puts the magnetic moment at 0.001 μB per cell.

Cell: 3.7162 3.7162 12.5333 Å, 90.00 90.00 90.00°
Fractional positions:
Pr (0.0000, 0.0000, 0.0000)
Pr (0.0000, 0.0000, 0.7077)
Zn (0.5000, 0.5000, 0.1473)
Pr (0.0000, 0.0000, 0.2923)
Sm (0.5000, 0.5000, 0.5000)
Zn (0.5000, 0.5000, 0.8527)

---

Of them, the most stable is #ii and the least stable is #i.

---

#i
The following is a DFT calculation (GGA-PBE) of a relaxed PrSn4 crystal.

The calculation puts the magnetic moment at 0.000 μB per cell.

Cell: 4.6953 6.5853 9.9183 Å, 109.39 103.69 90.00°
Fractional positions:
Sn (0.3064, 0.7920, 0.6129)
Pr (0.0939, 0.8439, 0.1877)
Pr (0.9061, 0.1561, 0.8123)
Sn (0.6936, 0.2080, 0.3871)
Sn (0.3064, 0.3209, 0.6129)
Sn (0.9026, 0.6526, 0.8052)
Sn (0.6936, 0.6791, 0.3871)
Sn (0.5000, 0.5000, 0.0000)
Sn (0.0974, 0.3474, 0.1948)
Sn (0.5000, 0.0000, 0.0000)

---

#ii
The following is a DFT calculation (GGA-PBE) of a relaxed PrSn4 crystal.

The calculation puts the magnetic moment at 0.000 μB per cell.

Cell: 5.8907 5.8907 5.8907 Å, 90.00 90.00 90.00°
Fractional positions:
Sn (0.5000, 0.0000, 0.5000)
Sn (0.0000, 0.5000, 0.5000)
Sn (0.0000, 0.0000, 0.0000)
Sn (0.5000, 0.5000, 0.0000)
Pr (0.5000, 0.5000, 0.5000)

---

Of them, the most stable is #i and the least stable is #ii.